1.
{
  "formula": "La2WSe",
  "functional": "GGA-PBE",
  "state": "optimized geometry",
  "lattice_angstrom": [[-1.4768, 1.2831, 3.0270], [1.6062, -2.6151, 1.8921], [6.3289, 4.6845, 1.1021]],
  "species": ["La", "La", "W", "Se"],
  "fractional_positions": [[0.0000, 0.0000, 0.5014], [0.0000, 0.0000, 0.9986], [0.5000, 0.5000, 0.7500], [0.5000, 0.5000, 0.2500]],
  "total_magnetization_mub_per_cell": 1.455,
  "e_above_lowest_polymorph_kj_per_mol_atoms": 5.7,
  "raw_formation_energy_ev_per_atom": -0.23
}

***

2.
{
  "formula": "IrCl",
  "functional": "GGA-PBE",
  "state": "optimized geometry",
  "lattice_angstrom": [[-3.0628, -6.4506, -3.7057], [-1.1479, -5.5552, -5.7047], [3.8071, -7.0836, 0.4741]],
  "species": ["Ir", "Ir", "Ir", "Cl", "Cl", "Cl"],
  "fractional_positions": [[0.6083, 0.6083, 0.5905], [0.0303, 0.0303, 0.4351], [0.6864, 0.6864, 0.2368], [0.1099, 0.1099, 0.8237], [0.3117, 0.3117, 0.0180], [0.4201, 0.4201, 0.3958]],
  "total_magnetization_mub_per_cell": 0.000,
  "e_above_lowest_polymorph_kj_per_mol_atoms": 18.2,
  "raw_formation_energy_ev_per_atom": 0.32
}

***

3.
{
  "formula": "Be2AsPt",
  "functional": "GGA-PBE",
  "state": "optimized geometry",
  "lattice_angstrom": [[7.4322, 0.0127, 0.0075], [6.8723, 2.8299, 0.0075], [6.8723, 1.3657, 2.4786]],
  "species": ["Be", "Be", "Pt", "As"],
  "fractional_positions": [[0.9970, 0.9970, 0.9970], [0.5030, 0.5030, 0.5030], [0.2500, 0.2500, 0.2500], [0.7500, 0.7500, 0.7500]],
  "total_magnetization_mub_per_cell": 0.000,
  "e_form_mev_per_atom": -42
}

***

4.
{
  "formula": "KSe",
  "functional": "GGA-PBE",
  "state": "optimized geometry",
  "lattice_angstrom": [[3.8683, 0.0000, 0.0000], [-1.9341, 3.3500, 0.0000], [0.0000, 0.0000, 4.9010]],
  "species": ["Se", "K"],
  "fractional_positions": [[0.6667, 0.3333, 0.5000], [0.0000, 0.0000, 0.0000]],
  "total_magnetization_mub_per_cell": 0.211,
  "raw_formation_energy_ev_per_atom": -0.51
}

***

5.
{
  "formula": "Li6PdRh",
  "functional": "GGA-PBE",
  "state": "optimized geometry",
  "lattice_angstrom": [[3.8156, 0.0000, 0.0000], [0.0000, 3.8156, 0.0000], [0.0000, 0.0000, 7.7464]],
  "species": ["Li", "Li", "Li", "Li", "Li", "Li", "Pd", "Rh"],
  "fractional_positions": [[0.0000, 0.5000, 0.7432], [0.5000, 0.5000, 0.0000], [0.5000, 0.0000, 0.7432], [0.5000, 0.5000, 0.5000], [0.0000, 0.5000, 0.2568], [0.5000, 0.0000, 0.2568], [0.0000, 0.0000, 0.0000], [0.0000, 0.0000, 0.5000]],
  "total_magnetization_mub_per_cell": 0.000,
  "e_form_mev_per_atom": -165
}

***

6.
{
  "formula": "KSrTlBi2",
  "functional": "GGA-PBE",
  "state": "optimized geometry",
  "lattice_angstrom": [[6.2522, 0.0000, 0.0000], [0.0000, 6.2522, 0.0000], [0.0000, 0.0000, 6.3018]],
  "species": ["K", "Sr", "Bi", "Bi", "Tl"],
  "fractional_positions": [[0.5000, 0.5000, 0.5000], [0.0000, 0.0000, 0.0000], [0.0000, 0.5000, 0.0000], [0.5000, 0.0000, 0.0000], [0.0000, 0.0000, 0.5000]],
  "total_magnetization_mub_per_cell": 0.000,
  "e_form_mev_per_atom": 81
}

***

7.
{
  "formula": "MgZnS2",
  "functional": "GGA-PBE",
  "state": "optimized geometry",
  "lattice_angstrom": [[-0.0451, 6.3279, -1.1425], [-3.8868, -0.1455, -0.6506], [1.3651, 0.6678, 3.6393]],
  "species": ["S", "S", "Mg", "Zn"],
  "fractional_positions": [[0.0362, 0.3110, 0.2161], [0.5203, 0.6445, 0.8814], [0.6509, 0.3110, 0.2148], [0.1534, 0.6444, 0.8827]],
  "total_magnetization_mub_per_cell": 0.000,
  "raw_formation_energy_ev_per_atom": -1.10
}

***

8.
{
  "formula": "CeCdCuAu",
  "functional": "GGA-PBE",
  "state": "optimized geometry",
  "lattice_angstrom": [[4.9216, 0.0000, 0.0000], [2.4608, 4.2622, 0.0000], [2.4608, 1.4207, 4.0185]],
  "species": ["Ce", "Cu", "Au", "Cd"],
  "fractional_positions": [[0.2500, 0.2500, 0.2500], [0.5000, 0.5000, 0.5000], [0.0000, 0.0000, 0.0000], [0.7500, 0.7500, 0.7500]],
  "total_magnetization_mub_per_cell": 0.644,
  "e_form_mev_per_atom": -330
}

***

no.,uncorrected energy (eV per cell),N(E_F) (states/eV/atom)
1,-27.21,1.17
2,-30.18,0.97
3,-18.31,0.54
4,-5.61,0.95
5,-25.35,0.35
6,-12.50,0.40
7,-15.52,0.00
8,-15.54,1.86